The following is a PBE calculation of a geometry-optimized BeIrPb3 structure, from Alexandria.

Structure (CIF):
```
data_BeIrPb3
_symmetry_space_group_name_H-M 'P m -3 m'
_symmetry_Int_Tables_number 221
_symmetry_space_group_name_Hall '-P 4 2 3'
_cell_length_a 5.321
_cell_length_b 5.321
_cell_length_c 5.321
_cell_angle_alpha 90.00
_cell_angle_beta 90.00
_cell_angle_gamma 90.00
loop_
_atom_site_label
_atom_site_fract_x
_atom_site_fract_y
_atom_site_fract_z
Be1 0.000 0.000 0.000
Ir1 0.500 0.500 0.500
Pb1 0.000 0.500 0.500
```

Output
- formation energy (meV per atom) = 795
- polymorph energy (0 for the lowest one) (meV per atom) = 0

---

The following is a PBE calculation of a geometry-optimized Fe3Pd13 structure, from Alexandria.

Structure (CIF):
```
data_Fe3Pd13
_symmetry_space_group_name_H-M 'A m m 2'
_symmetry_Int_Tables_number 38
_cell_length_a 7.735
_cell_length_b 7.758
_cell_length_c 7.965
_cell_angle_alpha 90.00
_cell_angle_beta 90.00
_cell_angle_gamma 90.00
loop_
_symmetry_equiv_pos_as_xyz
'x,y,z'
'-x,-y,z'
'-x,y,z'
'x,-y,z'
'x,y+1/2,z+1/2'
'-x,-y+1/2,z+1/2'
'-x,y+1/2,z+1/2'
'x,-y+1/2,z+1/2'
loop_
_atom_site_label
_atom_site_fract_x
_atom_site_fract_y
_atom_site_fract_z
Fe1 0.000 0.000 0.000
Fe2 0.260 0.000 0.275
Pd1 0.000 0.000 0.515
Pd2 0.000 0.228 0.261
Pd3 0.240 0.000 0.768
Pd4 0.245 0.242 0.019
Pd5 0.500 0.000 0.023
Pd6 0.500 0.000 0.516
Pd7 0.500 0.248 0.269
```

Output
- formation energy (meV per atom) = -74

---

The following is a PBE calculation of a geometry-optimized ZnSbPdPt structure, from Alexandria.

Structure (CIF):
```
data_ZnSbPdPt
_symmetry_space_group_name_H-M 'F -4 3 m'
_symmetry_Int_Tables_number 216
_symmetry_space_group_name_Hall 'F -4 2 3'
_cell_length_a 6.483
_cell_length_b 6.483
_cell_length_c 6.483
_cell_angle_alpha 90.00
_cell_angle_beta 90.00
_cell_angle_gamma 90.00
loop_
_atom_site_label
_atom_site_fract_x
_atom_site_fract_y
_atom_site_fract_z
Zn1 0.000 0.000 0.000
Sb1 0.000 0.000 0.500
Pd1 0.250 0.250 0.750
Pt1 0.250 0.250 0.250
```

Output
- energy relative to the elements, uncorrected (eV/atom) = -0.3418

---

The following is a PBE calculation of a geometry-optimized ZrTcPt4 structure, from Alexandria.

Structure (CIF):
```
data_ZrTcPt4
_symmetry_space_group_name_H-M 'F -4 3 m'
_symmetry_Int_Tables_number 216
_symmetry_space_group_name_Hall 'F -4 2 3'
_cell_length_a 7.438
_cell_length_b 7.438
_cell_length_c 7.438
_cell_angle_alpha 90.00
_cell_angle_beta 90.00
_cell_angle_gamma 90.00
loop_
_atom_site_label
_atom_site_fract_x
_atom_site_fract_y
_atom_site_fract_z
Zr1 0.000 0.000 0.000
Tc1 0.250 0.250 0.250
Pt1 0.125 0.125 0.625
```

Output
- formation energy (meV per atom) = -280